[1]
BaAsRhBr2: single point on PBEsol structure, SCAN.

Cell: 6.0693 6.0693 6.3919 Å, 90.00 90.00 90.00°
Site moments in Bohr magnetons follow the coordinates.
Element x y z (fractional)
As 0.0000 0.0000 0.5000  0.89
Rh 0.5000 0.5000 0.5000  1.61
Ba 0.0000 0.0000 0.0000  0.02
Br 0.0000 0.5000 0.0000  0.04
Br 0.5000 0.0000 0.0000  0.04

The uncorrected formation energy comes out at 0.3698 eV/atom. For the total energy, the calculation gives -26.116 eV per atom. As for the spin magnetization: 4.0 μB per cell.

[2]
CaMg14VO16: single point on PBEsol structure, SCAN.

Cell: 4.2838 8.5211 8.5211 Å, 90.00 90.00 90.00°
Site moments in Bohr magnetons follow the coordinates.
Element x y z (fractional)
Ca 0.0000 0.0000 0.0000  0.00
Mg 0.0000 0.5000 0.0000  0.00
Mg 0.0000 0.0000 0.5000  0.00
Mg 0.5000 0.2555 0.0000  0.00
Mg 0.5000 0.7445 0.0000  0.00
Mg 0.5000 0.2506 0.5000  0.00
Mg 0.5000 0.7494 0.5000  0.00
Mg 0.5000 0.0000 0.2555  0.00
Mg 0.5000 0.5000 0.2506  0.00
Mg 0.5000 0.0000 0.7445  0.00
Mg 0.5000 0.5000 0.7494  0.00
Mg 0.0000 0.2532 0.2532  0.00
Mg 0.0000 0.7468 0.2532  0.00
Mg 0.0000 0.2532 0.7468  0.00
Mg 0.0000 0.7468 0.7468  0.00
V 0.0000 0.5000 0.5000  2.62
O 0.0000 0.0000 0.2630  0.00
O 0.0000 0.5000 0.2492  0.01
O 0.0000 0.0000 0.7370  0.00
O 0.0000 0.5000 0.7508  0.01
O 0.5000 0.2503 0.2503  0.00
O 0.5000 0.7497 0.2503  0.00
O 0.5000 0.2503 0.7497  0.00
O 0.5000 0.7497 0.7497  0.00
O 0.5000 0.0000 0.0000  0.00
O 0.5000 0.5000 0.0000  0.00
O 0.5000 0.0000 0.5000  0.00
O 0.5000 0.5000 0.5000  0.03
O 0.0000 0.2630 0.0000  0.00
O 0.0000 0.7370 0.0000  0.00
O 0.0000 0.2492 0.5000  0.01
O 0.0000 0.7508 0.5000  0.01

The uncorrected formation energy comes out at -2.9396 eV/atom. For the total energy, the calculation gives -9.080 eV per atom. As for the spin magnetization: 3.0 μB per cell. As for the polymorph energy (0 for the lowest one): 0.0 meV/atom.

[3]
Th7S12: single point on PBEsol structure, SCAN.

Cell: 3.9419 11.0192 11.0192 Å, 120.00 90.00 90.00°
Site moments in Bohr magnetons follow the coordinates.
Element x y z (fractional)
Th 0.0000 0.0000 0.0000  0.00
Th 0.0000 0.4314 0.2835  0.08
Th 0.0000 0.7165 0.1478  0.08
Th 0.0000 0.8522 0.5686  0.08
Th 0.5000 0.5594 0.7117  -0.04
Th 0.5000 0.2883 0.8477  -0.04
Th 0.5000 0.1523 0.4406  -0.04
S 0.0000 0.1412 0.6280  0.00
S 0.0000 0.3720 0.5132  0.00
S 0.0000 0.4868 0.8588  0.00
S 0.5000 0.8575 0.3807  0.00
S 0.5000 0.6193 0.4768  0.00
S 0.5000 0.5232 0.1425  0.00
S 0.0000 0.2492 0.9967  0.00
S 0.0000 0.0033 0.2525  0.00
S 0.0000 0.7475 0.7508  0.00
S 0.5000 0.7916 0.0038  0.00
S 0.5000 0.9962 0.7878  0.00
S 0.5000 0.2122 0.2084  0.00

The uncorrected formation energy comes out at -2.1880 eV/atom. For the total energy, the calculation gives -43.607 eV per atom. As for the spin magnetization: 0.2 μB per cell.

[4]
BaCoAu3: single point on PBEsol structure, SCAN.

Cell: 4.8675 4.8675 4.8675 Å, 90.00 90.00 90.00°
Site moments in Bohr magnetons follow the coordinates.
Element x y z (fractional)
Co 0.0000 0.0000 0.0000  2.01
Au 0.0000 0.5000 0.0000  0.04
Au 0.0000 0.0000 0.5000  0.04
Au 0.5000 0.0000 0.0000  0.04
Ba 0.5000 0.5000 0.5000  -0.02

As for the formation energy: -268 meV per atom. For the total energy, the calculation gives -53.133 eV per atom. As for the spin magnetization: 1.9 μB per cell.

[5]
BaZrNi2: single point on PBEsol structure, SCAN.

Cell: 3.3328 3.3328 7.2650 Å, 90.00 90.00 90.00°
Element x y z (fractional)
Ba 0.5000 0.5000 0.0000
Ni 0.0000 0.0000 0.3268
Ni 0.0000 0.0000 0.6732
Zr 0.5000 0.5000 0.5000

As for the formation energy: -69 meV per atom. For the total energy, the calculation gives -25.718 eV per atom. As for the spin magnetization: 0.0 μB per cell.

[6]
MgCu2Mo2O8: single point on PBEsol structure, SCAN.

Cell: 6.5045 8.3726 12.2330 Å, 90.00 92.55 90.00°
Element x y z (fractional)
Mg 0.1125 0.8434 0.0517
Mg 0.8875 0.1566 0.9483
Mg 0.8875 0.3434 0.4483
Mg 0.1125 0.6566 0.5517
Cu 0.7725 0.8236 0.8537
Cu 0.3724 0.9482 0.6047
Cu 0.6276 0.0518 0.3953
Cu 0.2275 0.1764 0.1463
Cu 0.7725 0.6764 0.3537
Cu 0.3724 0.5518 0.1047
Cu 0.2275 0.3236 0.6463
Cu 0.6276 0.4482 0.8953
Mo 0.1006 0.5440 0.8485
Mo 0.1006 0.9560 0.3485
Mo 0.6195 0.9324 0.1331
Mo 0.8994 0.0440 0.6515
Mo 0.3805 0.0676 0.8669
Mo 0.3805 0.4324 0.3669
Mo 0.6195 0.5676 0.6331
Mo 0.8994 0.4560 0.1515
O 0.0481 0.7586 0.3980
O 0.6558 0.9951 0.5922
O 0.1831 0.4377 0.4682
O 0.8169 0.9377 0.0318
O 0.0481 0.7414 0.8980
O 0.9519 0.2414 0.6020
O 0.0761 0.8917 0.6069
O 0.5127 0.1224 0.1428
O 0.5127 0.3776 0.6428
O 0.2789 0.1192 0.7334
O 0.7211 0.6192 0.7666
O 0.4873 0.8776 0.8572
O 0.9239 0.1083 0.3931
O 0.8740 0.4590 0.2963
O 0.4193 0.7014 0.5890
O 0.4193 0.7986 0.0890
O 0.1260 0.9590 0.2037
O 0.4873 0.6224 0.3572
O 0.1260 0.5410 0.7037
O 0.8169 0.5623 0.5318
O 0.6558 0.5049 0.0922
O 0.7211 0.8808 0.2666
O 0.9519 0.2586 0.1020
O 0.0761 0.6083 0.1069
O 0.1831 0.0623 0.9682
O 0.5807 0.2014 0.9110
O 0.3442 0.0049 0.4078
O 0.3442 0.4951 0.9078
O 0.9239 0.3917 0.8931
O 0.5807 0.2986 0.4110
O 0.2789 0.3808 0.2334
O 0.8740 0.0410 0.7963

The uncorrected formation energy comes out at -1.8765 eV/atom. For the total energy, the calculation gives -13.799 eV per atom. As for the spin magnetization: 0.3 μB per cell.